Gd2Pt2O5 GGA-PBE relaxed; size of the total moment = 0.00 μB per cell; energy above the lowest structure with this stoichiometry = 0.000 eV/atom
1.0
6.966 0.000 0.000
0.000 4.051 0.000
0.000 0.000 4.051
Gd O Pt
2 5 2
Cartesian
0.000 0.000 0.000
3.483 0.000 0.000
1.647 2.025 0.000
5.319 2.025 0.000
1.647 0.000 2.025
5.319 0.000 2.025
3.483 2.025 2.025
1.333 2.025 2.025
5.633 2.025 2.025


BeSiAu2 GGA-PBE relaxed; E_tot = -3.52 eV/atom
1.0
1.320 -1.071 4.151
1.167 3.230 2.886
-2.638 0.937 3.505
Au Be Si
2 1 1
Cartesian
0.000 0.000 0.000
-0.113 2.322 7.906
-0.038 0.774 2.635
-0.075 1.548 5.271


Ga2SnHg GGA-PBE relaxed; E_tot = -2.50 eV/atom
1.0
0.000 3.594 3.594
3.594 0.000 3.594
3.594 3.594 0.000
Ga Hg Sn
2 1 1
Cartesian
3.594 3.594 3.594
5.390 5.390 5.390
1.797 1.797 1.797
0.000 0.000 0.000


TaCoCuAs GGA-PBE relaxed; size of the total moment = 0.00 μB per cell; energy above the lowest structure with this stoichiometry = 0.086 eV/atom
1.0
-1.369 -3.952 1.016
-3.394 -0.500 2.599
-3.727 -1.460 -1.583
As Co Cu Ta
1 1 1 1
Cartesian
0.000 0.000 0.000
-6.367 -4.434 1.524
-2.122 -1.478 0.508
-4.245 -2.956 1.016